Compound: Sr2InCoN
Source: Alexandria via LeMat-Bulk
Functional: PBE
Structure: optimized geometry

Cell: 5.663 5.663 3.562 Å, 90.00 90.00 90.00°
Fractional positions:
Sr (0.000, 0.500, 0.000)
Sr (0.500, 0.000, 0.000)
In (0.000, 0.000, 0.500)
Co (0.500, 0.500, 0.500)
N (0.500, 0.500, 0.000)

## Properties
- Raw formation energy: -0.361 eV per atom
- Calculated volume: 22.85 Å³ per atom
- Space-group type: P4/mmm, No. 123

Compound: TaInCo2N
Source: Alexandria via LeMat-Bulk
Functional: PBE
Structure: optimized geometry

Cell: 4.419 4.419 5.578 Å, 90.00 90.00 90.00°
Fractional positions:
Ta (0.000, 0.000, 0.000)
In (0.000, 0.000, 0.500)
Co (0.000, 0.500, 0.000)
Co (0.500, 0.000, 0.000)
N (0.500, 0.500, 0.500)

## Properties
- Raw formation energy: 2.345 eV per atom
- Calculated volume: 21.78 Å³ per atom
- Space-group type: P4/mmm, No. 123